Material: TiCdBi3
Method: DFT, PBE-GGA
State: relaxed

a = 5.5782 Å, b = 5.5782 Å, c = 5.5782 Å
α = 90.00°, β = 90.00°, γ = 90.00°
Space group Pm-3m (No. 221)
Symmetry-distinct sites (fractional):
Ti  0.0000  0.0000  0.0000 (multiplicity 1)
Cd  0.5000  0.5000  0.5000 (multiplicity 1)
Bi  0.0000  0.5000  0.5000 (multiplicity 3)



Material: Ti2Cd2Bi
Method: DFT, PBE-GGA
State: relaxed

a = 8.2458 Å, b = 8.2458 Å, c = 3.2404 Å
α = 90.00°, β = 90.00°, γ = 90.00°
Space group P4/mbm (No. 127)
Symmetry-distinct sites (fractional):
Ti  0.1710  0.3290  0.0000 (multiplicity 4)
Cd  0.1249  0.6249  0.5000 (multiplicity 4)
Bi  0.0000  0.0000  0.5000 (multiplicity 2)



Material: TiCdBi3
Method: DFT, PBE-GGA
State: relaxed

a = 5.4302 Å, b = 5.4302 Å, c = 5.4302 Å
α = 90.00°, β = 90.00°, γ = 90.00°
Space group Pm-3m (No. 221)
Symmetry-distinct sites (fractional):
Ti  0.0000  0.0000  0.0000 (multiplicity 1)
Cd  0.5000  0.5000  0.5000 (multiplicity 1)
Bi  0.0000  0.0000  0.5000 (multiplicity 3)



Material: Ti6CdBi
Method: DFT, PBE-GGA
State: relaxed

a = 5.9352 Å, b = 5.9352 Å, c = 4.8081 Å
α = 90.00°, β = 90.00°, γ = 120.00°
Space group P-6m2 (No. 187)
Symmetry-distinct sites (fractional):
Ti  0.0090  0.5045  0.0000 (multiplicity 3)
Ti  0.1716  0.3432  0.5000 (multiplicity 3)
Cd  0.0000  0.0000  0.0000 (multiplicity 1)
Bi  0.6667  0.3333  0.5000 (multiplicity 1)



Material: Ti2Cd2Bi
Method: DFT, PBE-GGA
State: relaxed

a = 7.1112 Å, b = 7.1112 Å, c = 4.4169 Å
α = 90.00°, β = 90.00°, γ = 90.00°
Space group P4/mbm (No. 127)
Symmetry-distinct sites (fractional):
Ti  0.1378  0.3622  0.0000 (multiplicity 4)
Cd  0.1529  0.6529  0.5000 (multiplicity 4)
Bi  0.0000  0.0000  0.0000 (multiplicity 2)



Material: TiCd2Bi
Method: DFT, PBE-GGA
State: relaxed

a = 8.3370 Å, b = 8.3370 Å, c = 5.6683 Å
α = 90.00°, β = 90.00°, γ = 90.00°
Space group I-42d (No. 122)
Symmetry-distinct sites (fractional):
Ti  0.0000  0.0000  0.0000 (multiplicity 4)
Cd  0.2336  0.2500  0.1250 (multiplicity 8)
Bi  0.0000  0.0000  0.5000 (multiplicity 4)



It is found that the formation energy values, taken in the order of the records, are 1.048, 0.286, 0.210, -0.043, 0.108, 0.256 eV/atom.